Entry 1:
Compound: Mg2B2Pb
Source: the Alexandria database
Functional: PBE
Structure: optimized geometry

Computed properties:
final energy: -3.5974 eV/atom
ρ: 5.59 g/cm3
DFT formation energy: 453 meV per atom
ΔE to the lowest computed polymorph: 37.8 meV per atom

Cell: 4.126 4.126 5.655 Å, 68.60 68.60 90.00°
Element x y z (fractional)
1 Pb 0.000 0.000 0.000
2 Mg 0.750 0.250 0.500
3 Mg 0.250 0.750 0.500
4 B 0.416 0.416 0.167
5 B 0.584 0.584 0.833

Entry 2:
Compound: Mg2BPb
Source: the Alexandria database
Functional: PBE
Structure: optimized geometry

Computed properties:
final energy: -2.6534 eV/atom
ρ: 5.11 g/cm3
DFT formation energy: 740 meV per atom
ΔE to the lowest computed polymorph: 49.4 meV per atom

Cell: 4.517 4.517 9.078 Å, 75.60 75.60 90.00°
Element x y z (fractional)
1 Pb 0.000 0.000 0.000
2 Pb 0.750 0.250 0.500
3 Mg 0.557 0.125 0.250
4 Mg 0.193 0.625 0.250
5 Mg 0.375 0.443 0.750
6 Mg 0.875 0.807 0.750
7 B 0.500 0.500 0.000
8 B 0.250 0.750 0.500

Entry 3:
Compound: Mg3BPb
Source: the Alexandria database
Functional: PBE
Structure: optimized geometry

Computed properties:
final energy: -1.7540 eV/atom
ρ: 3.12 g/cm3
DFT formation energy: 1280 meV per atom
ΔE to the lowest computed polymorph: 1104.1 meV per atom

Cell: 5.371 5.371 5.371 Å, 90.00 90.00 90.00°
Element x y z (fractional)
1 Pb 0.000 0.000 0.000
2 Mg 0.000 0.500 0.000
3 Mg 0.000 0.000 0.500
4 Mg 0.500 0.000 0.000
5 B 0.500 0.500 0.500